This record from Alexandria describes a crystal of Ta2CdPb relaxed with PBEsol. The functional is meta-GGA SCAN. Values from VASP.

Values from the calculation:
For the volume, the calculation gives 78.5 Å³ per cell. Its formation energy is 0.4955 eV per atom. For the mass density, the calculation gives 14420 kg/m³. The space-group type is Cmmm. The electronic total energy comes out at -59.345 eV/atom.

Structure (Quantum ESPRESSO input):
```
&SYSTEM
  ibrav = 0, nat = 4, ntyp = 3
/
ATOMIC_SPECIES
Ta 180.95 Ta.upf
Cd 112.41 Cd.upf
Pb 207.20 Pb.upf
CELL_PARAMETERS angstrom
2.9560 0.0180 0.0000
-0.8332 2.8362 0.0000
0.0000 0.0000 9.3442
ATOMIC_POSITIONS angstrom
Ta 0.0000 0.0000 6.9936
Cd 1.0614 1.4271 4.6721
Ta 0.0000 0.0000 2.3506
Pb 1.0614 1.4271 0.0000
```

This record from Alexandria describes a crystal of ErLuB4Ru2 relaxed with PBEsol. The functional is meta-GGA SCAN. Values from VASP.

Values from the calculation:
For the volume, the calculation gives 188.3 Å³ per cell. Its formation energy is -0.7315 eV per atom. For the mass density, the calculation gives 10362 kg/m³. The space-group type is Pmc2_1. The electronic total energy comes out at -26.363 eV/atom.

Structure (Quantum ESPRESSO input):
```
&SYSTEM
  ibrav = 0, nat = 16, ntyp = 4
/
ATOMIC_SPECIES
Er 167.26 Er.upf
B 10.81 B.upf
Ru 101.07 Ru.upf
Lu 174.97 Lu.upf
CELL_PARAMETERS angstrom
-2.2223 -1.1379 -4.5915
0.0405 -5.6117 1.3711
-5.6458 0.5911 2.5861
ATOMIC_POSITIONS angstrom
Er -3.4498 -0.3755 -1.2118
B -5.1572 -4.7655 1.7055
B -1.9613 -3.5879 0.8448
Ru -2.4198 -1.5326 1.5510
B -3.4413 -4.3457 -2.2130
Ru -1.4674 -4.3472 -1.1870
Lu -5.1471 -2.2103 3.0390
Er -4.3973 -3.0800 -0.0829
B -2.6612 -2.6852 -2.0241
Ru -3.1801 -4.2568 2.5940
Ru -6.3659 -1.0306 0.3619
B -5.8756 -1.2871 -1.7927
B -5.9065 -5.1492 0.1573
B -4.3957 -0.5293 1.2651
Lu -0.4388 -5.5070 1.5771
B -1.9118 -2.3016 -0.4759
```

This record from Alexandria describes a crystal of SrZnAs2 relaxed with PBEsol. The functional is meta-GGA SCAN. Values from VASP.

Values from the calculation:
For the volume, the calculation gives 99.3 Å³ per cell. Its formation energy is -0.5112 eV per atom. For the mass density, the calculation gives 5062 kg/m³. The space-group type is C2/m. The electronic total energy comes out at -19.554 eV/atom.

Structure (Quantum ESPRESSO input):
```
&SYSTEM
  ibrav = 0, nat = 4, ntyp = 3
/
ATOMIC_SPECIES
Zn 65.41 Zn.upf
As 74.92 As.upf
Sr 87.62 Sr.upf
CELL_PARAMETERS angstrom
4.8031 0.0369 0.0414
2.0443 4.3465 0.0414
1.3641 0.8732 4.7924
ATOMIC_POSITIONS angstrom
Zn 3.4237 2.1917 0.0414
As 2.8956 1.8537 4.2287
Sr 0.6820 0.4366 2.3962
As 5.3158 3.4030 0.6465
```

This record from Alexandria describes a crystal of CdTcNi relaxed with PBEsol. The functional is meta-GGA SCAN. Values from VASP.

Values from the calculation:
For the volume, the calculation gives 43.1 Å³ per cell. Its formation energy is 0.4833 eV per atom. For the mass density, the calculation gives 10367 kg/m³. The space-group type is P3m1. The electronic total energy comes out at -26.733 eV/atom.

Structure (Quantum ESPRESSO input):
```
&SYSTEM
  ibrav = 0, nat = 3, ntyp = 3
/
ATOMIC_SPECIES
Ni 58.69 Ni.upf
Cd 112.41 Cd.upf
Tc 98.00 Tc.upf
CELL_PARAMETERS angstrom
2.5848 0.0000 0.0000
0.0000 4.3882 0.0000
0.0000 -2.1941 3.8003
ATOMIC_POSITIONS angstrom
Ni 2.0481 2.1941 1.2668
Cd 2.2402 0.0000 0.0000
Tc 0.8814 0.0000 2.5335
```

This record from Alexandria describes a crystal of SbS2Cl2 relaxed with PBEsol. The functional is meta-GGA SCAN. Values from VASP.

Values from the calculation:
For the volume, the calculation gives 115.0 Å³ per cell. For the mass density, the calculation gives 3708 kg/m³. The space-group type is I4/mmm. The uncorrected formation energy comes out at 0.40 eV/atom. The electronic total energy comes out at -14.091 eV/atom.

Structure (Quantum ESPRESSO input):
```
&SYSTEM
  ibrav = 0, nat = 5, ntyp = 3
/
ATOMIC_SPECIES
S 32.06 S.upf
Cl 35.45 Cl.upf
Sb 121.76 Sb.upf
CELL_PARAMETERS angstrom
5.3743 -0.0321 -0.0487
-2.3601 4.8284 0.0487
-2.3601 -1.8621 4.4552
ATOMIC_POSITIONS angstrom
S -2.9971 1.8835 2.8598
Cl 0.3270 -0.2055 3.3292
Cl 0.3270 3.1397 1.1260
Sb 0.0000 0.0000 0.0000
S -1.7231 1.0828 1.6441
```

This record from Alexandria describes a crystal of CdCo2AsW relaxed with PBEsol. The functional is meta-GGA SCAN. Values from VASP.

Values from the calculation:
For the volume, the calculation gives 95.1 Å³ per cell. Its formation energy is 2.2028 eV per atom. For the mass density, the calculation gives 8539 kg/m³. The space-group type is P4/mmm. The electronic total energy comes out at -28.778 eV/atom.

Structure (Quantum ESPRESSO input):
```
&SYSTEM
  ibrav = 0, nat = 5, ntyp = 4
/
ATOMIC_SPECIES
W 183.84 W.upf
Co 58.93 Co.upf
As 74.92 As.upf
Cd 112.41 Cd.upf
CELL_PARAMETERS angstrom
4.4950 0.0000 0.0000
0.0000 4.4950 0.0000
0.0000 0.0000 4.7070
ATOMIC_POSITIONS angstrom
W 2.2475 2.2475 2.3535
Co 2.2475 0.0000 0.0000
As 0.0000 0.0000 2.3535
Cd 0.0000 0.0000 0.0000
Co 0.0000 2.2475 0.0000
```

This record from Alexandria describes a crystal of MnZn2Pt relaxed with PBEsol. The functional is meta-GGA SCAN. Values from VASP.

Values from the calculation:
For the volume, the calculation gives 54.4 Å³ per cell. Its formation energy is -0.4450 eV per atom. For the mass density, the calculation gives 11620 kg/m³. The space-group type is Pmmm. The electronic total energy comes out at -29.315 eV/atom.

Structure (Quantum ESPRESSO input):
```
&SYSTEM
  ibrav = 0, nat = 4, ntyp = 3
/
ATOMIC_SPECIES
Zn 65.41 Zn.upf
Mn 54.94 Mn.upf
Pt 195.08 Pt.upf
CELL_PARAMETERS angstrom
-1.0639 2.4941 -0.5937
-2.1853 -1.5200 -2.4693
-3.7833 -0.7124 3.7867
ATOMIC_POSITIONS angstrom
Zn -2.8471 -0.5361 2.8496
Mn -1.6246 0.4870 -1.5315
Pt -3.5163 0.1308 0.3618
Zn -0.9363 -0.1763 0.9371
```

This record from Alexandria describes a crystal of La2TlP relaxed with PBEsol. The functional is meta-GGA SCAN. Values from VASP.

Values from the calculation:
For the volume, the calculation gives 119.4 Å³ per cell. Its formation energy is -1.1555 eV per atom. For the mass density, the calculation gives 7139 kg/m³. The space-group type is R-3m. The electronic total energy comes out at -43.397 eV/atom.

Structure (Quantum ESPRESSO input):
```
&SYSTEM
  ibrav = 0, nat = 4, ntyp = 3
/
ATOMIC_SPECIES
Tl 204.38 Tl.upf
La 138.91 La.upf
P 30.97 P.upf
CELL_PARAMETERS angstrom
-1.2183 3.2875 -2.1707
-2.9610 2.4623 1.4743
4.2163 6.4429 3.4745
ATOMIC_POSITIONS angstrom
Tl 0.0000 0.0000 0.0000
La 0.2448 3.2383 0.8502
La -0.2080 8.9544 1.9279
P 0.0184 6.0963 1.3890
```

- Look up the mass density of the eighth one.
  7139 kg/m³